Compound: PrGdTlPb
Source: Alexandria via LeMat-Bulk
Functional: PBE-GGA
Structure: optimized geometry

Values from the calculation:
Space group: F-43m (216)
Raw total energy in eV/atom: -6.65
Calculated density in g cm⁻³: 9.89

Lattice parameters (Å, degrees): 5.5232 5.5232 5.5232 60.00 60.00 60.00
Closest atoms and distances in Å follow each position.
Atoms (fractional coordinates):
Pb (0.5000, 0.5000, 0.5000)  4 Pr 3.38, 4 Gd 3.38
Pr (0.7500, 0.7500, 0.7500)  4 Tl 3.38, 4 Pb 3.38
Tl (0.0000, 0.0000, 0.0000)  4 Gd 3.38, 4 Pr 3.38
Gd (0.2500, 0.2500, 0.2500)  4 Pb 3.38, 4 Tl 3.38